The following is a DFT calculation (GGA+U) of a geometry-optimized Ba3CaTiWO9 structure.

Results
Space group: P6_3mc (186)
E_tot in eV per atom: -7.3371
Fermi-level density of states in states/eV/cell: 0.0

Lattice parameters (Å, degrees): 6.0017 6.0017 14.9708 90.00 90.00 120.00
With the nearest neighbours (Å) after each atom.
Element x y z (fractional)
Ba1 0.3333 0.6667 0.6080  9 O 2.91-3.01
Ba2 0.3333 0.6667 0.8998  9 O 2.90-3.01
Ba3 0.0000 0.0000 0.2448  12 O 2.92-3.05
Ba4 0.0000 0.0000 0.7448  12 O 2.92-3.05
Ba5 0.6667 0.3333 0.3998  9 O 2.90-3.01
Ba6 0.6667 0.3333 0.1080  9 O 2.91-3.01
W1 0.6667 0.3333 0.8396  6 O 1.91-2.01
W2 0.3333 0.6667 0.3396  6 O 1.91-2.01
O1 0.9648 0.4824 0.7542  1 W 2.01, 1 Ti 2.25
O2 0.3549 0.1775 0.9074  1 W 1.91
O3 0.4824 0.5176 0.2542  1 W 2.01, 1 Ti 2.25
O4 0.5176 0.0352 0.7542  1 W 2.01, 1 Ti 2.25
O5 0.6501 0.8250 0.0922  1 Ti 1.83
O6 0.8225 0.6451 0.9074  1 W 1.91
O7 0.6451 0.8225 0.4074  1 W 1.91
O8 0.5176 0.4824 0.7542  1 W 2.01, 1 Ti 2.25
O9 0.0352 0.5176 0.2542  1 W 2.01, 1 Ti 2.25
O10 0.4824 0.9648 0.2542  1 W 2.01, 1 Ti 2.25
O11 0.1750 0.8250 0.0922  1 Ti 1.83
O12 0.8250 0.6501 0.5922  1 Ti 1.83
O13 0.1775 0.3549 0.4074  1 W 1.91
O14 0.8250 0.1750 0.5922  1 Ti 1.83
O15 0.8225 0.1775 0.9074  1 W 1.91
O16 0.1750 0.3499 0.0922  1 Ti 1.83
O17 0.3499 0.1750 0.5922  1 Ti 1.83
O18 0.1775 0.8225 0.4074  1 W 1.91
Ca1 0.0000 0.0000 0.0007  6 O 2.28-2.31
Ca2 0.0000 0.0000 0.5007  6 O 2.28-2.31
Ti1 0.3333 0.6667 0.1456  3 O 1.83
Ti2 0.6667 0.3333 0.6456  3 O 1.83